## BaCo2Rh2O7 (GGA+U)

Data for crystalline BaCo2Rh2O7 at its relaxed geometry.

Geometry as extended XYZ:
```
12
Lattice="-0.6652 -3.2447 -2.3683 3.8455 0.1578 -1.2964 0.7408 -3.5303 8.1288" Properties=species:S:1:pos:R:3 pbc="T T T"
Ba 3.7780 0.1551 -1.2737
Rh 1.8098 -3.8685 4.7916
Rh 2.1752 -2.7460 -0.3490
O 2.6011 -1.2939 1.0421
O 1.4135 -5.3194 3.3905
O 3.6424 -3.6065 3.9179
O 1.2581 -2.6331 3.2541
O 2.7579 -3.9801 1.1780
O 0.3307 -3.0085 0.5287
O 1.2689 -1.5566 -1.7241
Co 0.8764 -4.1616 1.9551
Co 3.1280 -2.4521 2.4809
```

D(E_F)	6.11	states/eV/f.u.
symmetry	Imm2
calculated density	6.84	g/cm³
E_tot	-0.451	Ry per atom